Model P:
Density functional theory data (PBE) for a relaxed TbEr12Sc6 crystal.

The magnetization is 0.00 μB/f.u.

Unit cell a=8.9796 b=8.9796 c=8.9796 alpha=107.56 beta=107.56 gamma=107.56
Closest atoms and distances in Å follow each position.
Element x y z (fractional)
Tb: 0.0000 0.0000 0.0000  6 Er 3.45
Er: 0.1122 0.5000 0.8878  4 Sc 3.18-3.29, 5 Er 3.25-3.54
Er: 0.1122 0.8878 0.5000  4 Sc 3.18-3.29, 5 Er 3.25-3.54
Er: 0.1456 0.3705 0.3705  1 Sc 2.96, 2 Er 3.26
Er: 0.3705 0.1456 0.3705  1 Sc 2.96, 2 Er 3.26
Er: 0.3705 0.3705 0.1456  1 Sc 2.96, 2 Er 3.26
Er: 0.5000 0.1122 0.8878  4 Sc 3.18-3.29, 5 Er 3.25-3.54
Er: 0.5000 0.8878 0.1122  4 Sc 3.18-3.29, 5 Er 3.25-3.54
Er: 0.6295 0.6295 0.8544  1 Sc 2.96, 2 Er 3.26
Er: 0.6295 0.8544 0.6295  1 Sc 2.96, 2 Er 3.26
Er: 0.8544 0.6295 0.6295  1 Sc 2.96, 2 Er 3.26
Er: 0.8878 0.1122 0.5000  4 Sc 3.18-3.29, 5 Er 3.25-3.54
Er: 0.8878 0.5000 0.1122  4 Sc 3.18-3.29, 5 Er 3.25-3.54
Sc: 0.2755 0.6888 0.6888  5 Er 2.96-3.29
Sc: 0.3112 0.3112 0.7245  5 Er 2.96-3.29
Sc: 0.3112 0.7245 0.3112  5 Er 2.96-3.29
Sc: 0.6888 0.2755 0.6888  5 Er 2.96-3.29
Sc: 0.6888 0.6888 0.2755  5 Er 2.96-3.29
Sc: 0.7245 0.3112 0.3112  5 Er 2.96-3.29

***

Model Q:
Density functional theory data (PBE) for a relaxed TbEr12Sc6 crystal.

The magnetization is 0.00 μB/f.u.

Unit cell a=8.9805 b=8.9805 c=8.9805 alpha=109.47 beta=109.47 gamma=109.47
Closest atoms and distances in Å follow each position.
Element x y z (fractional)
Tb: 0.0000 0.0000 0.0000  12 Er 3.43
Er: 0.0707 0.2663 0.8043  1 Sc 2.98
Er: 0.1957 0.4620 0.2663  1 Sc 2.98
Er: 0.1957 0.9293 0.7337  1 Sc 2.98
Er: 0.2663 0.1957 0.4620  1 Sc 2.98
Er: 0.2663 0.8043 0.0707  1 Sc 2.98
Er: 0.4620 0.2663 0.1957  1 Sc 2.98
Er: 0.5380 0.7337 0.8043  1 Sc 2.98
Er: 0.7337 0.1957 0.9293  1 Sc 2.98
Er: 0.7337 0.8043 0.5380  1 Sc 2.98
Er: 0.8043 0.0707 0.2663  1 Sc 2.98
Er: 0.8043 0.5380 0.7337  1 Sc 2.98
Er: 0.9293 0.7337 0.1957  1 Sc 2.98
Sc: 0.1378 0.5000 0.6378  1 Sc 2.86, 2 Er 2.98
Sc: 0.3622 0.8622 0.5000  1 Sc 2.86, 2 Er 2.98
Sc: 0.5000 0.3622 0.8622  1 Sc 2.86, 2 Er 2.98
Sc: 0.5000 0.6378 0.1378  1 Sc 2.86, 2 Er 2.98
Sc: 0.6378 0.1378 0.5000  1 Sc 2.86, 2 Er 2.98
Sc: 0.8622 0.5000 0.3622  1 Sc 2.86, 2 Er 2.98

***

Most stable structure, least stable structure: model Q, model P.

***

Model P:
Density functional theory data (PBE) for a relaxed Tb5ErSc4 crystal.

The magnetization is 0.00 μB/f.u.

Unit cell a=7.5866 b=7.5866 c=7.5866 alpha=99.46 beta=99.46 gamma=132.17
Closest atoms and distances in Å follow each position.
Element x y z (fractional)
Tb: 0.0000 0.0000 0.0000  1 Er 2.82
Tb: 0.0272 0.4193 0.9027  4 Sc 3.05-3.39, 1 Er 3.26, 1 Tb 3.26
Tb: 0.1245 0.0272 0.6079  4 Sc 3.05-3.39, 1 Er 3.26, 1 Tb 3.26
Tb: 0.4193 0.5165 0.3921  4 Sc 3.05-3.39, 1 Er 3.26, 1 Tb 3.26
Tb: 0.5165 0.1245 0.0973  4 Sc 3.05-3.39, 1 Er 3.26, 1 Tb 3.26
Er: 0.5419 0.5419 0.0000  1 Tb 2.82
Sc: 0.1276 0.7153 0.3011  1 Sc 3.02, 2 Tb 3.05-3.08
Sc: 0.4142 0.8265 0.6989  1 Sc 3.02, 2 Tb 3.05-3.08
Sc: 0.7153 0.4142 0.5877  1 Sc 3.02, 2 Tb 3.05-3.08
Sc: 0.8265 0.1276 0.4123  1 Sc 3.02, 2 Tb 3.05-3.08

***

Model Q:
Density functional theory data (PBE) for a relaxed Tb5ErSc4 crystal.

The magnetization is 0.00 μB/f.u.

Unit cell a=3.4888 b=3.4888 c=23.5095 alpha=90.00 beta=90.00 gamma=90.00
Closest atoms and distances in Å follow each position.
Element x y z (fractional)
Tb: 0.0000 0.0000 0.0000  8 Sc 3.38, 4 Tb 3.49
Tb: 0.0000 0.0000 0.1962  8 Sc 3.38, 4 Tb 3.49
Tb: 0.0000 0.0000 0.3932  4 Sc 3.38, 4 Tb 3.49, 4 Er 3.52
Tb: 0.0000 0.0000 0.6068  4 Sc 3.38, 4 Tb 3.49, 4 Er 3.52
Tb: 0.0000 0.0000 0.8038  8 Sc 3.38, 4 Tb 3.49
Er: 0.5000 0.5000 0.5000  4 Er 3.49, 8 Tb 3.52
Sc: 0.5000 0.5000 0.0981  8 Tb 3.38, 4 Sc 3.49
Sc: 0.5000 0.5000 0.2947  8 Tb 3.38, 4 Sc 3.49
Sc: 0.5000 0.5000 0.7053  8 Tb 3.38, 4 Sc 3.49
Sc: 0.5000 0.5000 0.9019  8 Tb 3.38, 4 Sc 3.49

***

Most stable structure, least stable structure: model Q, model P.

***

Model P:
Density functional theory data (PBE) for a relaxed Tb3Er3Sc crystal.

The magnetization is 0.05 μB/f.u.

Unit cell a=9.4157 b=9.4157 c=5.5735 alpha=90.00 beta=90.00 gamma=120.00
Closest atoms and distances in Å follow each position.
Element x y z (fractional)
Tb: 0.0512 0.2432 0.2500  5 Er 3.45-3.59, 6 Tb 3.48-3.62, 1 Sc 3.52
Tb: 0.1920 0.9488 0.2500  5 Er 3.45-3.59, 6 Tb 3.48-3.62, 1 Sc 3.52
Tb: 0.2432 0.1920 0.7500  5 Er 3.45-3.59, 6 Tb 3.48-3.62, 1 Sc 3.52
Tb: 0.7568 0.8080 0.2500  5 Er 3.45-3.59, 6 Tb 3.48-3.62, 1 Sc 3.52
Tb: 0.8080 0.0512 0.7500  5 Er 3.45-3.59, 6 Tb 3.48-3.62, 1 Sc 3.52
Tb: 0.9488 0.7568 0.7500  5 Er 3.45-3.59, 6 Tb 3.48-3.62, 1 Sc 3.52
Er: 0.0963 0.4786 0.7500  5 Tb 3.45-3.59, 3 Sc 3.45-3.56, 4 Er 3.46-3.53
Er: 0.3822 0.9037 0.7500  5 Tb 3.45-3.59, 3 Sc 3.45-3.56, 4 Er 3.46-3.53
Er: 0.4786 0.3822 0.2500  5 Tb 3.45-3.59, 3 Sc 3.45-3.56, 4 Er 3.46-3.53
Er: 0.5214 0.6178 0.7500  5 Tb 3.45-3.59, 3 Sc 3.45-3.56, 4 Er 3.46-3.53
Er: 0.6178 0.0963 0.2500  5 Tb 3.45-3.59, 3 Sc 3.45-3.56, 4 Er 3.46-3.53
Er: 0.9037 0.5214 0.2500  5 Tb 3.45-3.59, 3 Sc 3.45-3.56, 4 Er 3.46-3.53
Sc: 0.3333 0.6667 0.2500  9 Er 3.45-3.56, 3 Tb 3.52
Sc: 0.6667 0.3333 0.7500  9 Er 3.45-3.56, 3 Tb 3.52

***

Model Q:
Density functional theory data (PBE) for a relaxed Tb3Er3Sc crystal.

The magnetization is 0.00 μB/f.u.

Unit cell a=14.2137 b=14.2137 c=14.2137 alpha=24.82 beta=24.82 gamma=24.82
Closest atoms and distances in Å follow each position.
Element x y z (fractional)
Tb: 0.1317 0.4623 0.8006  3 Er 3.48-3.49, 9 Tb 3.50-3.55
Tb: 0.1994 0.8683 0.5377  3 Er 3.48-3.49, 9 Tb 3.50-3.55
Tb: 0.4623 0.8006 0.1317  3 Er 3.48-3.49, 9 Tb 3.50-3.55
Tb: 0.5377 0.1994 0.8683  3 Er 3.48-3.49, 9 Tb 3.50-3.55
Tb: 0.8006 0.1317 0.4623  3 Er 3.48-3.49, 9 Tb 3.50-3.55
Tb: 0.8683 0.5377 0.1994  3 Er 3.48-3.49, 9 Tb 3.50-3.55
Er: 0.0629 0.7285 0.3977  2 Sc 3.30, 3 Tb 3.48-3.49, 6 Er 3.52-3.54
Er: 0.2715 0.6023 0.9371  2 Sc 3.30, 3 Tb 3.48-3.49, 6 Er 3.52-3.54
Er: 0.3977 0.0629 0.7285  2 Sc 3.30, 3 Tb 3.48-3.49, 6 Er 3.52-3.54
Er: 0.6023 0.9371 0.2715  2 Sc 3.30, 3 Tb 3.48-3.49, 6 Er 3.52-3.54
Er: 0.7285 0.3977 0.0629  2 Sc 3.30, 3 Tb 3.48-3.49, 6 Er 3.52-3.54
Er: 0.9371 0.2715 0.6023  2 Sc 3.30, 3 Tb 3.48-3.49, 6 Er 3.52-3.54
Sc: 0.3333 0.3333 0.3333  6 Er 3.30, 3 Sc 3.53
Sc: 0.6667 0.6667 0.6667  6 Er 3.30, 3 Sc 3.53

***

Most stable structure, least stable structure: model P, model Q.

***

Model P:
Density functional theory data (PBE) for a relaxed TbEr4Sc crystal.

The magnetization is 0.00 μB/f.u.

Unit cell a=8.4004 b=8.4004 c=6.2322 alpha=100.28 beta=100.28 gamma=117.59
Closest atoms and distances in Å follow each position.
Element x y z (fractional)
Tb: 0.0873 0.9127 0.7500  10 Er 3.45-3.73
Tb: 0.9127 0.0873 0.2500  10 Er 3.45-3.73
Er: 0.0840 0.3330 0.8762  5 Er 3.29-3.68, 2 Sc 3.32-3.41, 2 Tb 3.45-3.49
Er: 0.2110 0.5972 0.4616  2 Sc 3.26-3.30, 6 Er 3.29-3.59, 2 Tb 3.59-3.64
Er: 0.3330 0.0840 0.3762  5 Er 3.29-3.68, 2 Sc 3.32-3.41, 2 Tb 3.45-3.49
Er: 0.4028 0.7890 0.0384  2 Sc 3.26-3.30, 6 Er 3.29-3.59, 2 Tb 3.59-3.64
Er: 0.5972 0.2110 0.9616  2 Sc 3.26-3.30, 6 Er 3.29-3.59, 2 Tb 3.59-3.64
Er: 0.6670 0.9160 0.6238  5 Er 3.29-3.68, 2 Sc 3.32-3.41, 2 Tb 3.45-3.49
Er: 0.7890 0.4028 0.5384  2 Sc 3.26-3.30, 6 Er 3.29-3.59, 2 Tb 3.59-3.64
Er: 0.9160 0.6670 0.1238  5 Er 3.29-3.68, 2 Sc 3.32-3.41, 2 Tb 3.45-3.49
Sc: 0.4999 0.5001 0.2500  2 Sc 3.12, 8 Er 3.26-3.41
Sc: 0.5001 0.4999 0.7500  2 Sc 3.12, 8 Er 3.26-3.41

***

Model Q:
Density functional theory data (PBE) for a relaxed TbEr4Sc crystal.

The magnetization is 0.00 μB/f.u.

Unit cell a=4.9673 b=4.9673 c=8.7390 alpha=90.00 beta=90.00 gamma=90.00
Closest atoms and distances in Å follow each position.
Element x y z (fractional)
Tb: 0.0000 0.0000 0.0000  8 Er 3.52
Er: 0.0000 0.5000 0.2850  2 Sc 3.11
Er: 0.0000 0.5000 0.7150  2 Sc 3.11
Er: 0.5000 0.0000 0.2850  2 Sc 3.11
Er: 0.5000 0.0000 0.7150  2 Sc 3.11
Sc: 0.5000 0.5000 0.5000  8 Er 3.11

***

Most stable structure, least stable structure: model P, model Q.